ScTa2Se, relaxed, DFT GGA-PBEsol; ΔE_f (raw) = -0.303 eV/atom; electronic total energy = -9.19 eV per atom
1.0
3.4346 0.0000 0.0000
0.0000 3.4346 0.0000
0.0000 0.0000 6.0641
Sc Ta Se
1 2 1
Direct
0.0000 0.0000 0.0000
0.0000 0.0000 0.5040
0.5000 0.5000 0.7269
0.5000 0.5000 0.2308

=====

ScTa2Se, relaxed, DFT GGA-PBEsol; ΔE_f (raw) = 0.041 eV/atom; electronic total energy = -8.85 eV per atom
1.0
-2.0671 2.0671 4.1411
2.0671 -2.0671 4.1411
2.0671 2.0671 -4.1411
Sc Ta Se
1 2 1
Direct
0.0000 0.0000 0.0000
0.2500 0.7500 0.5000
0.5000 0.5000 0.0000
0.7500 0.2500 0.5000

=====

Sc3TaSe, relaxed, DFT GGA-PBEsol; ΔE_f (raw) = 0.589 eV/atom; electronic total energy = -6.65 eV per atom
1.0
5.0384 0.0000 0.0000
0.0000 5.0384 0.0000
0.0000 0.0000 5.0384
Sc Ta Se
3 1 1
Direct
0.0000 0.0000 0.5000
0.0000 0.5000 0.0000
0.5000 0.0000 0.0000
0.0000 0.0000 0.0000
0.5000 0.5000 0.5000

=====

ScTaSe, relaxed, DFT GGA-PBEsol; ΔE_f (raw) = -0.128 eV/atom; energy relative to the lowest polymorph listed for this composition = 0.3421 eV per atom; electronic total energy = -7.80 eV per atom
1.0
0.0000 3.0692 3.0692
3.0692 0.0000 3.0692
3.0692 3.0692 0.0000
Sc Ta Se
1 1 1
Direct
0.0000 0.0000 0.0000
0.5000 0.5000 0.5000
0.2500 0.2500 0.2500

=====

ScTa2Se, relaxed, DFT GGA-PBEsol; ΔE_f (raw) = -0.065 eV/atom; electronic total energy = -8.95 eV per atom
1.0
-1.9111 1.9111 4.9353
1.9111 -1.9111 4.9353
1.9111 1.9111 -4.9353
Sc Ta Se
1 2 1
Direct
0.0000 0.0000 0.0000
0.2500 0.7500 0.5000
0.7500 0.2500 0.5000
0.5000 0.5000 0.0000

=====

ScTcSe, relaxed, DFT GGA-PBEsol; ΔE_f (raw) = -0.480 eV/atom; energy relative to the lowest polymorph listed for this composition = 0.0000 eV per atom; electronic total energy = -7.72 eV per atom
1.0
4.2364 0.0000 0.0000
-2.1182 3.6688 0.0000
0.0000 0.0000 3.2423
Sc Tc Se
1 1 1
Direct
0.0000 0.0000 0.0000
0.3333 0.6667 0.5000
0.6667 0.3333 0.5000

=====

Sc2TcSe, relaxed, DFT GGA-PBEsol; ΔE_f (raw) = -0.426 eV/atom; electronic total energy = -7.51 eV per atom
1.0
-2.1479 2.1479 3.6706
2.1479 -2.1479 3.6706
2.1479 2.1479 -3.6706
Sc Tc Se
2 1 1
Direct
0.2500 0.7500 0.5000
0.7500 0.2500 0.5000
0.0000 0.0000 0.0000
0.5000 0.5000 0.0000

=====

Sc2TcSe, relaxed, DFT GGA-PBEsol; ΔE_f (raw) = -0.299 eV/atom; electronic total energy = -7.38 eV per atom
1.0
3.1336 0.0000 0.0000
0.0000 3.1336 0.0000
0.0000 0.0000 7.5613
Sc Tc Se
2 1 1
Direct
0.0000 0.0000 0.0000
0.5000 0.5000 0.3291
0.5000 0.5000 0.7518
0.0000 0.0000 0.5888

=====

Sc2TcSe, relaxed, DFT GGA-PBEsol; ΔE_f (raw) = -0.207 eV/atom; electronic total energy = -7.29 eV per atom
1.0
0.0000 3.2136 3.2136
3.2136 0.0000 3.2136
3.2136 3.2136 0.0000
Sc Tc Se
2 1 1
Direct
0.0000 0.0000 0.0000
0.2500 0.2500 0.2500
0.5000 0.5000 0.5000
0.7500 0.7500 0.7500

=====

ScTcSe, relaxed, DFT GGA-PBEsol; ΔE_f (raw) = 0.305 eV/atom; energy relative to the lowest polymorph listed for this composition = 0.7848 eV per atom; electronic total energy = -6.94 eV per atom
1.0
0.0000 3.0463 3.0463
3.0463 0.0000 3.0463
3.0463 3.0463 0.0000
Sc Tc Se
1 1 1
Direct
0.0000 0.0000 0.0000
0.2500 0.2500 0.2500
0.7500 0.7500 0.7500

=====

ScTeSe2, relaxed, DFT GGA-PBEsol; ΔE_f (raw) = -0.813 eV/atom; electronic total energy = -5.27 eV per atom
1.0
3.4606 0.0000 0.0000
0.0000 3.4606 0.0000
0.0000 0.0000 7.2184
Sc Te Se
1 1 2
Direct
0.0000 0.0000 0.0000
0.0000 0.0000 0.5000
0.5000 0.5000 0.1856
0.5000 0.5000 0.8144

=====

ScTe2Se, relaxed, DFT GGA-PBEsol; ΔE_f (raw) = -0.714 eV/atom; electronic total energy = -5.09 eV per atom
1.0
5.0478 0.0000 0.0000
0.0000 4.2353 0.0000
-2.5119 0.0000 5.4499
Sc Te Se
1 2 1
Direct
0.0000 0.0000 0.0000
0.1874 0.5000 0.3746
0.8126 0.5000 0.6254
0.5000 0.0000 0.0000

=====

ScTeSe, relaxed, DFT GGA-PBEsol; ΔE_f (raw) = -0.312 eV/atom; electronic total energy = -4.97 eV per atom
1.0
0.0000 3.4284 3.4284
3.4284 0.0000 3.4284
3.4284 3.4284 0.0000
Sc Te Se
1 1 1
Direct
0.0000 0.0000 0.0000
0.7500 0.7500 0.7500
0.5000 0.5000 0.5000

=====

ScTeSe2, relaxed, DFT GGA-PBEsol; ΔE_f (raw) = -0.704 eV/atom; electronic total energy = -5.16 eV per atom
1.0
3.5915 0.0000 0.0000
0.0000 3.5915 0.0000
0.0000 0.0000 6.6728
Sc Te Se
1 1 2
Direct
0.0000 0.0000 0.0000
0.5000 0.5000 0.7114
0.0000 0.0000 0.4304
0.5000 0.5000 0.1391

=====

ScTeSe2, relaxed, DFT GGA-PBEsol; ΔE_f (raw) = -0.636 eV/atom; electronic total energy = -5.09 eV per atom
1.0
3.8953 0.0000 0.0000
0.0000 3.9544 0.0000
0.0000 0.0000 6.0057
Sc Te Se
1 1 2
Direct
0.0000 0.0000 0.0000
0.5000 0.0000 0.5000
0.0000 0.5000 0.5000
0.5000 0.5000 0.0000

=====

ScTiSe2, relaxed, DFT GGA-PBEsol; ΔE_f (raw) = -0.808 eV/atom; energy relative to the lowest polymorph listed for this composition = 0.1065 eV per atom; electronic total energy = -6.46 eV per atom
1.0
1.8271 1.0549 8.1479
-1.8271 1.0549 8.1479
0.0000 -2.1098 8.1479
Sc Ti Se
1 1 2
Direct
0.0000 0.0000 0.0000
0.5000 0.5000 0.5000
0.3986 0.3986 0.3986
0.6014 0.6014 0.6014

=====

ScTiSe2, relaxed, DFT GGA-PBEsol; ΔE_f (raw) = -0.915 eV/atom; energy relative to the lowest polymorph listed for this composition = 0.0000 eV per atom; electronic total energy = -6.57 eV per atom
1.0
-2.8976 2.8976 5.9288
2.8976 -2.8976 5.9288
2.8976 2.8976 -5.9288
Sc Ti Se
2 2 4
Direct
0.0000 0.0000 0.0000
0.7500 0.2500 0.5000
0.2500 0.7500 0.5000
0.5000 0.5000 0.0000
0.1409 0.6250 0.0159
0.3750 0.3909 0.5159
0.6091 0.1250 0.9841
0.8750 0.8591 0.4841

=====

ScTlSe2, relaxed, DFT GGA-PBEsol; ΔE_f (raw) = -1.000 eV/atom; electronic total energy = -5.23 eV per atom
1.0
-3.7215 3.7215 4.2683
3.7215 -3.7215 4.2683
3.7215 3.7215 -4.2683
Sc Tl Se
2 2 4
Direct
0.0000 0.0000 0.0000
0.7500 0.2500 0.5000
0.2500 0.7500 0.5000
0.5000 0.5000 0.0000
0.0608 0.1250 0.4358
0.3750 0.9392 0.0642
0.6892 0.6250 0.5642
0.8750 0.3108 0.9358

=====

Sc2TlSe, relaxed, DFT GGA-PBEsol; ΔE_f (raw) = -0.766 eV/atom; energy relative to the lowest polymorph listed for this composition = 0.2513 eV per atom; electronic total energy = -5.69 eV per atom
1.0
-1.7358 2.1587 5.8605
1.7358 -2.1587 5.8605
1.7358 2.1587 -5.8605
Sc Tl Se
2 1 1
Direct
0.0000 0.0000 0.0000
0.7323 0.2323 0.5000
0.3091 0.8091 0.5000
0.5542 0.5542 0.0000

=====

Sc4TlSe, relaxed, DFT GGA-PBEsol; ΔE_f (raw) = 0.036 eV/atom; electronic total energy = -5.45 eV per atom
1.0
0.0000 4.0606 4.0606
4.0606 0.0000 4.0606
4.0606 4.0606 0.0000
Sc Tl Se
4 1 1
Direct
0.3758 0.3758 0.3758
0.3758 0.3758 0.8725
0.3758 0.8725 0.3758
0.8725 0.3758 0.3758
0.7500 0.7500 0.7500
0.0000 0.0000 0.0000

=====

Sc2TlSe, relaxed, DFT GGA-PBEsol; ΔE_f (raw) = -1.018 eV/atom; energy relative to the lowest polymorph listed for this composition = 0.0000 eV per atom; electronic total energy = -5.94 eV per atom
1.0
1.8257 1.0541 7.5423
-1.8257 1.0541 7.5423
0.0000 -2.1081 7.5423
Sc Tl Se
2 1 1
Direct
0.2372 0.2372 0.2372
0.7628 0.7628 0.7628
0.0000 0.0000 0.0000
0.5000 0.5000 0.5000

=====

ScTl3Se, relaxed, DFT GGA-PBEsol; ΔE_f (raw) = 0.504 eV/atom; electronic total energy = -3.16 eV per atom
1.0
5.5362 0.0000 0.0000
0.0000 5.5362 0.0000
0.0000 0.0000 5.5362
Sc Tl Se
1 3 1
Direct
0.0000 0.0000 0.0000
0.0000 0.0000 0.5000
0.0000 0.5000 0.0000
0.5000 0.0000 0.0000
0.5000 0.5000 0.5000

=====

ScTlSe2, relaxed, DFT GGA-PBEsol; ΔE_f (raw) = -0.741 eV/atom; electronic total energy = -4.98 eV per atom
1.0
1.9727 1.1389 7.8014
-1.9727 1.1389 7.8014
0.0000 -2.2779 7.8014
Sc Tl Se
1 1 2
Direct
0.0000 0.0000 0.0000
0.2414 0.2414 0.2414
0.5117 0.5117 0.5117
0.7189 0.7189 0.7189

=====

Sc2TlSe, relaxed, DFT GGA-PBEsol; ΔE_f (raw) = -0.049 eV/atom; energy relative to the lowest polymorph listed for this composition = 0.9686 eV per atom; electronic total energy = -4.97 eV per atom
1.0
0.0000 3.5356 3.5356
3.5356 0.0000 3.5356
3.5356 3.5356 0.0000
Sc Tl Se
2 1 1
Direct
0.0000 0.0000 0.0000
0.2500 0.2500 0.2500
0.5000 0.5000 0.5000
0.7500 0.7500 0.7500

=====

ScTlSe2, relaxed, DFT GGA-PBEsol; ΔE_f (raw) = -1.094 eV/atom; electronic total energy = -5.33 eV per atom
1.0
-1.7546 1.8831 7.7418
1.7546 -1.8831 7.7418
1.7546 1.8831 -7.7418
Sc Tl Se
1 1 2
Direct
0.0000 0.0000 0.0000
0.7390 0.2390 0.5000
0.1272 0.6272 0.5000
0.4330 0.4330 0.0000

=====

Sc2TlSe, relaxed, DFT GGA-PBEsol; ΔE_f (raw) = -0.439 eV/atom; energy relative to the lowest polymorph listed for this composition = 0.5786 eV per atom; electronic total energy = -5.36 eV per atom
1.0
1.7672 1.0203 8.9369
-1.7672 1.0203 8.9369
0.0000 -2.0406 8.9369
Sc Tl Se
2 1 1
Direct
0.0000 0.0000 0.0000
0.2387 0.2387 0.2387
0.7546 0.7546 0.7546
0.5106 0.5106 0.5106

=====

Sc2TlSe, relaxed, DFT GGA-PBEsol; ΔE_f (raw) = -0.696 eV/atom; energy relative to the lowest polymorph listed for this composition = 0.3214 eV per atom; electronic total energy = -5.62 eV per atom
1.0
3.3130 -3.7870 0.0000
3.3130 3.7870 0.0000
-0.7160 0.0000 3.3681
Sc Tl Se
2 1 1
Direct
0.0000 0.5000 0.0000
0.5000 0.0000 0.0000
0.0000 0.0000 0.5000
0.5000 0.5000 0.5000

=====

Sc4WSe, relaxed, DFT GGA-PBEsol; ΔE_f (raw) = 0.533 eV/atom; electronic total energy = -6.81 eV per atom
1.0
0.0000 3.9054 3.9054
3.9054 0.0000 3.9054
3.9054 3.9054 0.0000
Sc W Se
4 1 1
Direct
0.3780 0.3780 0.3780
0.3780 0.3780 0.8660
0.3780 0.8660 0.3780
0.8660 0.3780 0.3780
0.7500 0.7500 0.7500
0.0000 0.0000 0.0000

=====

Sc2WSe, relaxed, DFT GGA-PBEsol; ΔE_f (raw) = -0.296 eV/atom; electronic total energy = -8.01 eV per atom
1.0
4.5832 0.0000 0.0000
0.0000 4.5832 0.0000
0.0000 0.0000 3.3855
Sc W Se
2 1 1
Direct
0.0000 0.5000 0.0000
0.5000 0.0000 0.0000
0.0000 0.0000 0.5000
0.5000 0.5000 0.5000

=====

Sc2WSe, relaxed, DFT GGA-PBEsol; ΔE_f (raw) = -0.268 eV/atom; electronic total energy = -7.98 eV per atom
1.0
5.1683 -1.5600 0.0000
5.1683 1.5600 0.0000
-1.3331 0.0000 4.6118
Sc W Se
2 1 1
Direct
0.0000 0.0000 0.0000
0.2130 0.2130 0.6533
0.4568 0.4568 0.4805
0.7661 0.7661 0.1771

=====

It is found that the magnetization values, taken in the order of the records, are 0.0 0.0 0.0 0.0 0.0 0.0 0.0 0.3 0.0 0.0 0.0 0.0 0.0 0.0 0.0 1.8 2.4 0.0 0.0 0.0 0.0 1.5 0.0 1.5 0.0 1.3 0.0 0.0 0.0 0.0 μB/cell.